[1]
First-principles (PBE-GGA) data for a relaxed La3FePb crystal, as listed in Alexandria via LeMat-Bulk.

abc: 5.3990 7.0606 7.9364
angles: 90.00 90.05 90.00
Closest atoms and distances in Å follow each position.
Fractional coordinates of all 10 atoms:
1 La 0.0000 0.0000 0.0000  2 Fe 2.92
2 La 0.0000 0.5000 0.0000  2 Fe 2.92
3 La 0.0073 0.2500 0.5901  1 Fe 2.40
4 La 0.4742 0.7500 0.7263  1 Fe 2.29
5 La 0.5258 0.2500 0.2737  1 Fe 2.29
6 La 0.9927 0.7500 0.4099  1 Fe 2.40
7 Fe 0.0507 0.7500 0.7094  2 La 2.29-2.40
8 Fe 0.9493 0.2500 0.2906  2 La 2.29-2.40
9 Pb 0.4935 0.7500 0.1712  9 La 3.29-3.63
10 Pb 0.5065 0.2500 0.8288  9 La 3.29-3.63

Results
**DFT formation energy**: -229 meV/atom
**Electronic total energy**: -5.620 eV per atom
**DOS(E_F)**: 5.3 states/eV/cell

---

[2]
First-principles (PBE-GGA) data for a relaxed La2FePb crystal, as listed in Alexandria via LeMat-Bulk.

abc: 6.5783 6.5783 6.5783
angles: 147.28 134.63 57.06
Closest atoms and distances in Å follow each position.
Fractional coordinates of all 4 atoms:
1 La 0.0000 0.0000 0.0000  4 Fe 3.15, 2 La 3.42, 2 Pb 3.44
2 La 0.6990 0.1990 0.5000  2 Fe 3.15, 4 Pb 3.35, 2 La 3.42
3 Fe 0.4791 0.4791 0.0000  2 Pb 2.78
4 Pb 0.2994 0.7994 0.5000  2 Fe 2.78

Results
**DFT formation energy**: -62 meV/atom
**Electronic total energy**: -5.569 eV per atom
**DOS(E_F)**: 5.1 states/eV/cell

---

[3]
First-principles (PBE-GGA) data for a relaxed La2FePb crystal, as listed in Alexandria via LeMat-Bulk.

abc: 5.3743 5.3743 5.3743
angles: 60.00 60.00 60.00
Closest atoms and distances in Å follow each position.
Fractional coordinates of all 4 atoms:
1 La 0.2500 0.2500 0.2500  4 Fe 3.29, 4 Pb 3.29
2 La 0.7500 0.7500 0.7500  4 Fe 3.29, 4 Pb 3.29
3 Fe 0.0000 0.0000 0.0000  8 La 3.29
4 Pb 0.5000 0.5000 0.5000  8 La 3.29

Results
**DFT formation energy**: 108 meV/atom
**Electronic total energy**: -5.399 eV per atom
**DOS(E_F)**: 4.2 states/eV/cell

---

[4]
First-principles (PBE-GGA) data for a relaxed La3FePb crystal, as listed in Alexandria via LeMat-Bulk.

abc: 6.0783 10.1724 9.4282
angles: 90.00 90.00 90.00
Closest atoms and distances in Å follow each position.
Fractional coordinates of all 20 atoms:
1 La 0.0113 0.0850 0.1428  1 Fe 2.87, 1 La 3.20
2 La 0.0113 0.4150 0.1428  1 Fe 2.87, 1 La 3.20
3 La 0.2121 0.7500 0.3217  1 Fe 2.38
4 La 0.2879 0.2500 0.8217  1 Fe 2.38
5 La 0.4887 0.5850 0.6428  1 Fe 2.87, 1 La 3.20
6 La 0.4887 0.9150 0.6428  1 Fe 2.87, 1 La 3.20
7 La 0.5113 0.0850 0.3572  1 Fe 2.87, 1 La 3.20
8 La 0.5113 0.4150 0.3572  1 Fe 2.87, 1 La 3.20
9 La 0.7121 0.7500 0.1783  1 Fe 2.38
10 La 0.7879 0.2500 0.6783  1 Fe 2.38
11 La 0.9887 0.5850 0.8572  1 Fe 2.87, 1 La 3.20
12 La 0.9887 0.9150 0.8572  1 Fe 2.87, 1 La 3.20
13 Fe 0.1800 0.7500 0.0704  1 La 2.38
14 Fe 0.3200 0.2500 0.5704  1 La 2.38
15 Fe 0.6800 0.7500 0.4296  1 La 2.38
16 Fe 0.8200 0.2500 0.9296  1 La 2.38
17 Pb 0.0000 0.0000 0.5000  2 Fe 3.27, 8 La 3.31-3.50
18 Pb 0.0000 0.5000 0.5000  2 Fe 3.27, 8 La 3.31-3.50
19 Pb 0.5000 0.0000 0.0000  2 Fe 3.27, 8 La 3.31-3.50
20 Pb 0.5000 0.5000 0.0000  2 Fe 3.27, 8 La 3.31-3.50

Results
**DFT formation energy**: -5 meV/atom
**Electronic total energy**: -5.396 eV per atom
**DOS(E_F)**: 17.9 states/eV/cell

---

[5]
First-principles (PBE-GGA) data for a relaxed La3FePb crystal, as listed in Alexandria via LeMat-Bulk.

abc: 8.3645 8.3645 8.3645
angles: 131.07 131.07 71.71
Closest atoms and distances in Å follow each position.
Fractional coordinates of all 10 atoms:
1 La 0.1455 0.1455 0.0000  2 Pb 3.48, 6 La 3.69-3.89, 2 Fe 3.74
2 La 0.3630 0.6152 0.7479  2 Fe 2.34-2.51
3 La 0.3848 0.1327 0.7479  2 Fe 2.34-2.51
4 La 0.3848 0.6370 0.2521  2 Fe 2.34-2.51
5 La 0.8545 0.8545 0.0000  2 Pb 3.48, 6 La 3.69-3.89, 2 Fe 3.74
6 La 0.8673 0.6152 0.2521  2 Fe 2.34-2.51
7 Fe 0.2500 0.7500 0.5000  4 La 2.51
8 Fe 0.5000 0.5000 0.0000  4 La 2.34
9 Pb 0.6218 0.1218 0.5000  1 Pb 3.48, 8 La 3.48-3.88, 2 Fe 3.84
10 Pb 0.8782 0.3782 0.5000  1 Pb 3.48, 8 La 3.48-3.88, 2 Fe 3.84

Results
**DFT formation energy**: 125 meV/atom
**Electronic total energy**: -5.266 eV per atom
**DOS(E_F)**: 12.2 states/eV/cell

---

[6]
First-principles (PBE-GGA) data for a relaxed La3FePb crystal, as listed in Alexandria via LeMat-Bulk.

abc: 9.3843 9.3843 7.4430
angles: 97.49 97.49 78.81
Closest atoms and distances in Å follow each position.
Fractional coordinates of all 20 atoms:
1 La 0.0634 0.6637 0.4560  1 Fe 2.32
2 La 0.0653 0.6829 0.9510  1 Fe 2.63
3 La 0.3171 0.9347 0.5490  1 Fe 2.63
4 La 0.3284 0.3355 0.9499  1 Fe 2.51
5 La 0.3355 0.3284 0.4499  1 Fe 2.51
6 La 0.3363 0.9366 0.0440  1 Fe 2.32
7 La 0.6637 0.0634 0.9560  1 Fe 2.32
8 La 0.6645 0.6716 0.5501  1 Fe 2.51
9 La 0.6716 0.6645 0.0501  1 Fe 2.51
10 La 0.6829 0.0653 0.4510  1 Fe 2.63
11 La 0.9347 0.3171 0.0490  1 Fe 2.63
12 La 0.9366 0.3363 0.5440  1 Fe 2.32
13 Fe 0.1252 0.4585 0.2526  2 La 2.32-2.51
14 Fe 0.4585 0.1252 0.7526  2 La 2.32-2.51
15 Fe 0.5415 0.8748 0.2474  2 La 2.32-2.51
16 Fe 0.8748 0.5415 0.7474  2 La 2.32-2.51
17 Pb 0.0060 0.9940 0.2500  8 La 3.43-3.64, 2 Pb 3.72
18 Pb 0.3800 0.6200 0.7500  8 La 3.36-3.44
19 Pb 0.6200 0.3800 0.2500  8 La 3.36-3.44
20 Pb 0.9940 0.0060 0.7500  8 La 3.43-3.64, 2 Pb 3.72

Results
**DFT formation energy**: -88 meV/atom
**Electronic total energy**: -5.479 eV per atom
**DOS(E_F)**: 13.5 states/eV/cell

---

[7]
First-principles (PBE-GGA) data for a relaxed La2FePb crystal, as listed in Alexandria via LeMat-Bulk.

abc: 3.9916 6.0658 6.0658
angles: 49.14 90.00 90.00
Closest atoms and distances in Å follow each position.
Fractional coordinates of all 4 atoms:
1 La 0.0000 0.0000 0.0000  4 Fe 3.22, 3 Pb 3.33-3.34
2 La 0.5000 0.3225 0.3225  1 Fe 2.17
3 Fe 0.5000 0.5193 0.5193  1 La 2.17
4 Pb 0.0000 0.6969 0.6969  2 Fe 2.80

Results
**DFT formation energy**: -124 meV/atom
**Electronic total energy**: -5.630 eV per atom
**DOS(E_F)**: 2.8 states/eV/cell

---

[8]
First-principles (PBE-GGA) data for a relaxed La3FePb crystal, as listed in Alexandria via LeMat-Bulk.

abc: 7.4069 7.4069 6.5240
angles: 90.00 90.00 124.82
Closest atoms and distances in Å follow each position.
Fractional coordinates of all 10 atoms:
1 La 0.0000 0.0000 0.0000  2 Fe 2.86
2 La 0.0000 0.0000 0.5000  2 Fe 2.86
3 La 0.0500 0.4504 0.2500  1 Fe 2.34
4 La 0.4504 0.0500 0.7500  1 Fe 2.34
5 La 0.5496 0.9500 0.2500  1 Fe 2.34
6 La 0.9500 0.5496 0.7500  1 Fe 2.34
7 Fe 0.1789 0.8211 0.2500  2 La 2.34
8 Fe 0.8211 0.1789 0.7500  2 La 2.34
9 Pb 0.4502 0.5498 0.7500  2 Pb 3.51, 8 La 3.70-3.85, 2 Fe 3.83
10 Pb 0.5498 0.4502 0.2500  2 Pb 3.51, 8 La 3.70-3.85, 2 Fe 3.83

Results
**DFT formation energy**: -15 meV/atom
**Electronic total energy**: -5.405 eV per atom
**DOS(E_F)**: 11.5 states/eV/cell

---

[9]
First-principles (PBE-GGA) data for a relaxed LaFeRuPb2 crystal, as listed in Alexandria via LeMat-Bulk.

abc: 6.0220 6.0220 4.3794
angles: 90.00 90.00 90.00
Closest atoms and distances in Å follow each position.
Fractional coordinates of all 5 atoms:
1 La 0.0000 0.0000 0.0000  2 Fe 2.19
2 Fe 0.0000 0.0000 0.5000  2 La 2.19
3 Ru 0.5000 0.5000 0.5000  8 Pb 3.72
4 Pb 0.0000 0.5000 0.0000  2 La 3.01
5 Pb 0.5000 0.0000 0.0000  2 La 3.01

Results
**DFT formation energy**: 1770 meV/atom
**Electronic total energy**: -4.246 eV per atom
**DOS(E_F)**: 10.1 states/eV/cell

---

[10]
First-principles (PBE-GGA) data for a relaxed LaScFePb2 crystal, as listed in Alexandria via LeMat-Bulk.

abc: 5.9855 5.9855 5.4201
angles: 90.00 90.00 90.00
Closest atoms and distances in Å follow each position.
Fractional coordinates of all 5 atoms:
1 La 0.0000 0.0000 0.0000  2 Sc 2.71, 4 Pb 2.99
2 Sc 0.0000 0.0000 0.5000  2 La 2.71
3 Fe 0.5000 0.5000 0.5000  8 Pb 4.04, 4 Sc 4.23
4 Pb 0.0000 0.5000 0.0000  2 La 2.99
5 Pb 0.5000 0.0000 0.0000  2 La 2.99

Results
**DFT formation energy**: 1727 meV/atom
**Electronic total energy**: -3.700 eV per atom
**DOS(E_F)**: 16.6 states/eV/cell

---

[11]
First-principles (PBE-GGA) data for a relaxed LaScFePb2 crystal, as listed in Alexandria via LeMat-Bulk.

abc: 5.5500 5.5500 4.6198
angles: 90.00 90.00 90.00
Closest atoms and distances in Å follow each position.
Fractional coordinates of all 5 atoms:
1 La 0.0000 0.0000 0.0000  8 Pb 3.61, 4 Fe 3.92
2 Sc 0.5000 0.5000 0.5000  2 Fe 2.31
3 Fe 0.5000 0.5000 0.0000  2 Sc 2.31
4 Pb 0.0000 0.5000 0.5000  2 Sc 2.77
5 Pb 0.5000 0.0000 0.5000  2 Sc 2.77

Results
**DFT formation energy**: 276 meV/atom
**Electronic total energy**: -5.151 eV per atom
**DOS(E_F)**: 5.5 states/eV/cell

---

[12]
First-principles (PBE-GGA) data for a relaxed La2FeSnPb crystal, as listed in Alexandria via LeMat-Bulk.

abc: 5.2409 5.2409 4.9929
angles: 90.00 90.00 90.00
Closest atoms and distances in Å follow each position.
Fractional coordinates of all 5 atoms:
1 La 0.0000 0.5000 0.0000  2 Fe 2.62
2 La 0.5000 0.0000 0.0000  2 Fe 2.62
3 Fe 0.0000 0.0000 0.0000  2 Sn 2.50, 4 La 2.62
4 Sn 0.0000 0.0000 0.5000  2 Fe 2.50
5 Pb 0.5000 0.5000 0.5000  8 La 3.62, 4 Sn 3.71

Results
**DFT formation energy**: -400 meV/atom
**Electronic total energy**: -5.606 eV per atom
**DOS(E_F)**: 4.7 states/eV/cell